Computed, not measured: Nb3TlW after structural relaxation at the PBE-GGA level of DFT.

Lattice parameters (Å, degrees): 4.907 4.907 4.907 90.00 90.00 90.00
Positions (direct):
Nb 0.000 0.000 0.500
Nb 0.000 0.500 0.000
Nb 0.500 0.000 0.000
Tl 0.500 0.500 0.500
W 0.000 0.000 0.000

- formation energy (meV/atom) = 1223
- DOS(E_F) (states/eV/cell) = 3.3
- total DFT energy (no corrections) (eV per atom) = -7.882
- excess energy over the best structure of this formula in the dataset (kJ per mole of atoms) = 0.0
- total moment (μB/f.u.) = 0.000

=====

Computed, not measured: NiHgIr2 after structural relaxation at the PBE-GGA level of DFT.

Lattice parameters (Å, degrees): 4.887 4.887 4.887 133.03 133.03 68.60
Positions (direct):
Ni 0.000 0.000 0.000
Hg 0.500 0.500 0.000
Ir 0.250 0.750 0.500
Ir 0.750 0.250 0.500

- formation energy (meV/atom) = 478
- DOS(E_F) (states/eV/cell) = 4.9
- total DFT energy (no corrections) (eV per atom) = -5.473
- total moment (μB/f.u.) = 1.803

=====

Computed, not measured: Pr3NdY2 after structural relaxation at the PBE-GGA level of DFT.

Lattice parameters (Å, degrees): 9.038 9.038 9.038 102.90 94.11 134.83
Positions (direct):
Pr 0.015 0.750 0.265
Pr 0.250 0.250 0.000
Pr 0.485 0.750 0.735
Pr 0.515 0.250 0.265
Pr 0.750 0.750 0.000
Pr 0.985 0.250 0.735
Nd 0.000 0.500 0.500
Nd 0.500 0.000 0.500
Y 0.187 0.243 0.430
Y 0.313 0.743 0.056
Y 0.687 0.257 0.944
Y 0.813 0.757 0.570

- formation energy (meV/atom) = 555
- DOS(E_F) (states/eV/cell) = 20.9
- total DFT energy (no corrections) (eV per atom) = -4.785
- excess energy over the best structure of this formula in the dataset (kJ per mole of atoms) = 53.4
- total moment (μB/f.u.) = 0.002

=====

Computed, not measured: CaTi2Os2 after structural relaxation at the PBE-GGA level of DFT.

Lattice parameters (Å, degrees): 6.277 6.277 6.277 140.99 140.99 56.36
Positions (direct):
Ca 0.000 0.000 0.000
Ti 0.250 0.750 0.500
Ti 0.750 0.250 0.500
Os 0.384 0.384 0.000
Os 0.616 0.616 0.000

- formation energy (meV/atom) = -227
- DOS(E_F) (states/eV/cell) = 2.6
- total DFT energy (no corrections) (eV per atom) = -8.277
- excess energy over the best structure of this formula in the dataset (kJ per mole of atoms) = 0.0
- total moment (μB/f.u.) = 0.000

=====

Computed, not measured: Ac3OsBr3 after structural relaxation at the PBE-GGA level of DFT.

Lattice parameters (Å, degrees): 9.516 4.492 12.853 90.00 93.93 90.00
Positions (direct):
Ac 0.094 0.250 0.392
Ac 0.126 0.250 0.844
Ac 0.326 0.750 0.623
Ac 0.674 0.250 0.377
Ac 0.874 0.750 0.156
Ac 0.906 0.750 0.608
Os 0.118 0.250 0.627
Os 0.882 0.750 0.373
Br 0.104 0.250 0.114
Br 0.358 0.750 0.876
Br 0.395 0.750 0.377
Br 0.605 0.250 0.623
Br 0.642 0.250 0.124
Br 0.896 0.750 0.886

- DOS(E_F) (states/eV/cell) = 1.6
- formation energy without anion corrections (kJ/mol of atoms) = -119.38
- total DFT energy (no corrections) (eV per atom) = -5.319
- total moment (μB/f.u.) = 0.000

=====

Computed, not measured: Sm4Er2TmSc after structural relaxation at the PBE-GGA level of DFT.

Lattice parameters (Å, degrees): 5.040 5.040 9.818 90.00 90.00 90.00
Positions (direct):
Sm 0.000 0.500 0.245
Sm 0.000 0.500 0.755
Sm 0.500 0.000 0.245
Sm 0.500 0.000 0.755
Er 0.000 0.000 0.000
Er 0.500 0.500 0.500
Tm 0.000 0.000 0.500
Sc 0.500 0.500 0.000

- formation energy (meV/atom) = 29
- DOS(E_F) (states/eV/cell) = 11.3
- total DFT energy (no corrections) (eV per atom) = -4.822
- total moment (μB/f.u.) = 0.000

=====

Computed, not measured: Mn2V2Ni7 after structural relaxation at the PBE-GGA level of DFT.

Lattice parameters (Å, degrees): 5.751 5.751 4.536 109.00 109.00 90.88
Positions (direct):
Mn 0.119 0.119 0.352
Mn 0.881 0.881 0.648
V 0.318 0.682 0.000
V 0.682 0.318 0.000
Ni 0.084 0.574 0.322
Ni 0.239 0.239 0.956
Ni 0.426 0.916 0.678
Ni 0.500 0.500 0.500
Ni 0.574 0.084 0.322
Ni 0.761 0.761 0.044
Ni 0.916 0.426 0.678

- formation energy (meV/atom) = -23
- DOS(E_F) (states/eV/cell) = 10.1
- total DFT energy (no corrections) (eV per atom) = -7.027
- total moment (μB/f.u.) = 5.965

=====

Computed, not measured: K3HgTe after structural relaxation at the PBE-GGA level of DFT.

Lattice parameters (Å, degrees): 6.697 6.697 6.697 90.00 90.00 90.00
Positions (direct):
K 0.000 0.000 0.500
K 0.000 0.500 0.000
K 0.500 0.000 0.000
Hg 0.500 0.500 0.500
Te 0.000 0.000 0.000

- DOS(E_F) (states/eV/cell) = 5.1
- formation energy without anion corrections (kJ/mol of atoms) = -50.32
- total DFT energy (no corrections) (eV per atom) = -1.869
- excess energy over the best structure of this formula in the dataset (kJ per mole of atoms) = 0.0
- total moment (μB/f.u.) = 0.000